Entry A
Crystalline In2WBr at its relaxed geometry. Source: Alexandria, functional PBE-GGA.

Lattice parameters (Å, degrees): 7.313 7.313 7.313 156.35 142.84 44.53
Element x y z (fractional)
In: 0.562 0.562 0.000
In: 0.938 0.938 0.000
W: 0.750 0.250 0.500
Br: 0.250 0.750 0.500

Volume, Å³ per cell: 94.5
Fermi-level density of states, states/eV per cell: 3.3

***

Entry B
Crystalline In2WBr at its relaxed geometry. Source: Alexandria, functional PBE-GGA.

Lattice parameters (Å, degrees): 5.084 5.084 5.084 60.00 60.00 60.00
Site moments in Bohr magnetons follow the coordinates.
Element x y z (fractional)
W: 0.500 0.500 0.500  0.95
In: 0.750 0.750 0.750  -0.04
In: 0.250 0.250 0.250  -0.04
Br: 0.000 0.000 0.000  -0.01

Volume, Å³ per cell: 92.9
Fermi-level density of states, states/eV per cell: 4.1

***

Result of the stability comparison: entry A is the most stable of them.

***

Entry A
Crystalline BC2 at its relaxed geometry. Source: Alexandria, functional PBE-GGA.

Lattice parameters (Å, degrees): 6.059 6.059 5.154 102.10 102.10 24.73
Element x y z (fractional)
C: 0.246 0.246 0.869
C: 0.908 0.908 0.701
C: 0.914 0.914 0.210
C: 0.662 0.662 0.329
C: 0.590 0.590 0.548
C: 0.668 0.668 0.834
C: 0.592 0.592 0.043
C: 0.336 0.336 0.674
B: 0.998 0.998 0.504
B: 0.236 0.236 0.408
B: 0.001 0.001 0.000
B: 0.349 0.349 0.129

Volume, Å³ per cell: 77.3
Fermi-level density of states, states/eV per cell: 0.8

***

Entry B
Crystalline BC2 at its relaxed geometry. Source: Alexandria, functional PBE-GGA.

Lattice parameters (Å, degrees): 4.474 4.474 7.901 116.22 116.22 32.87
Element x y z (fractional)
C: 0.840 0.840 0.042
C: 0.500 0.500 0.857
C: 0.996 0.996 0.504
C: 0.836 0.836 0.549
C: 0.336 0.336 0.663
C: 0.494 0.494 0.393
C: 0.171 0.171 0.692
C: 0.166 0.166 0.218
B: 0.674 0.674 0.834
B: 0.003 0.003 0.995
B: 0.327 0.327 0.163
B: 0.658 0.658 0.340

Volume, Å³ per cell: 76.2
Fermi-level density of states, states/eV per cell: 2.2

***

Result of the stability comparison: entry A is the most stable of them.

***

Entry A
Crystalline CrRePb2 at its relaxed geometry. Source: Alexandria, functional PBE-GGA.

Lattice parameters (Å, degrees): 3.144 3.144 8.682 90.00 90.00 90.00
Site moments in Bohr magnetons follow the coordinates.
Element x y z (fractional)
Cr: 0.500 0.500 0.695  0.30
Pb: 0.500 0.500 0.311  0.01
Pb: 0.000 0.000 0.933  0.00
Re: 0.000 0.000 0.562  -0.07

Volume, Å³ per cell: 85.8
Fermi-level density of states, states/eV per cell: 3.8

***

Entry B
Crystalline CrRePb2 at its relaxed geometry. Source: Alexandria, functional PBE-GGA.

Lattice parameters (Å, degrees): 3.464 3.464 6.824 90.00 90.00 90.00
Site moments in Bohr magnetons follow the coordinates.
Element x y z (fractional)
Re: 0.500 0.500 0.250  -0.10
Cr: 0.500 0.500 0.750  3.64
Pb: 0.000 0.000 0.486  -0.04
Pb: 0.000 0.000 0.014  -0.04

Volume, Å³ per cell: 81.9
Fermi-level density of states, states/eV per cell: 3.1

***

Result of the stability comparison: entry A is the most stable of them.